DFT (PBE-GGA) results for a relaxed Cs3SmSc2Te6 crystal.

Cell: 7.726 13.380 9.241 Å, 90.00 106.21 90.00°
Space group C2/m (No. 12)
Symmetry-distinct sites (fractional):
Cs1 0.000 0.000 0.000
Cs2 0.000 0.338 0.000
Sm1 0.000 0.500 0.500
Sc1 0.000 0.167 0.500
Te1 0.212 0.000 0.683
Te2 0.236 0.325 0.685

The uncorrected formation energy is -15.41 eV per formula unit.

=====

DFT (PBE-GGA) results for a relaxed CsSmScTe3 crystal.

Cell: 10.297 4.697 11.161 Å, 90.00 110.99 90.00°
Space group P2_1/m (No. 11)
Symmetry-distinct sites (fractional):
Cs1 0.214 0.250 0.238
Sm1 0.337 0.750 0.867
Sc1 0.087 0.250 0.608
Te1 0.122 0.250 0.867
Te2 0.207 0.750 0.549
Te3 0.472 0.750 0.163

The uncorrected formation energy is -7.49 eV per formula unit. For the density of states at the Fermi level, the calculation gives 6.4 states/eV/cell.

=====

DFT (PBE-GGA) results for a relaxed Cs4Sm3ScTe8 crystal.

Cell: 9.1402 9.1402 26.7658 Å, 90.00 90.00 120.00°
Space group R-3m (No. 166, hexagonal axes)
Symmetry-distinct sites (fractional):
Cs1 0.0000 0.0000 0.0000
Cs2 0.0000 0.5000 0.0000
Sm1 0.0000 0.5000 0.5000
Sc1 0.0000 0.0000 0.5000
Te1 0.0000 0.0000 0.2317
Te2 0.0139 0.5070 0.2293

The uncorrected formation energy is -21.70 eV per formula unit.

=====

DFT (PBE-GGA) results for a relaxed Cs3Sm2ScTe6 crystal.

Cell: 7.878 13.646 9.286 Å, 90.00 106.46 90.00°
Space group C2/m (No. 12)
Symmetry-distinct sites (fractional):
Cs1 0.000 0.000 0.000
Cs2 0.000 0.329 0.000
Sm1 0.000 0.166 0.500
Sc1 0.000 0.500 0.500
Te1 0.221 0.341 0.688
Te2 0.246 0.000 0.690

The uncorrected formation energy is -16.10 eV per formula unit.

=====

DFT (PBE-GGA) results for a relaxed CsSc2Sn2 crystal.

Cell: 9.209 9.209 3.316 Å, 90.00 90.00 90.00°
Space group P4/mbm (No. 127)
Symmetry-distinct sites (fractional):
Cs1 0.000 0.000 0.000
Sc1 0.132 0.368 0.000
Sn1 0.157 0.657 0.500

The calculation puts the formation energy from the elements at -1.5 eV per formula unit. For the density of states at the Fermi level, the calculation gives 7.8 states/eV/cell.

=====

DFT (PBE-GGA) results for a relaxed CsScSn2 crystal.

Cell: 7.960 7.960 7.960 Å, 90.00 90.00 90.00°
Space group Fm-3m (No. 225)
Symmetry-distinct sites (fractional):
Cs1 0.000 0.000 0.000
Sc1 0.000 0.000 0.500
Sn1 0.250 0.250 0.250

The distance to the lowest polymorph of the same formula comes out at 531 meV/atom. The calculation puts the formation energy from the elements at 0.7 eV per formula unit. For the density of states at the Fermi level, the calculation gives 13.3 states/eV/cell.

=====

DFT (PBE-GGA) results for a relaxed CsScSn2 crystal.

Cell: 3.920 3.920 8.515 Å, 90.00 90.00 90.00°
Space group P4/mmm (No. 123)
Symmetry-distinct sites (fractional):
Cs1 0.000 0.000 0.000
Sc1 0.000 0.000 0.500
Sn1 0.500 0.500 0.331

The distance to the lowest polymorph of the same formula comes out at 0 meV/atom. The calculation puts the formation energy from the elements at -1.4 eV per formula unit. For the density of states at the Fermi level, the calculation gives 1.8 states/eV/cell.

=====

DFT (PBE-GGA) results for a relaxed Cs2Sc2Sn crystal.

Cell: 9.897 9.897 3.629 Å, 90.00 90.00 90.00°
Space group P4/mbm (No. 127)
Symmetry-distinct sites (fractional):
Cs1 0.131 0.369 0.000
Sc1 0.181 0.681 0.500
Sn1 0.000 0.000 0.000

The calculation puts the formation energy from the elements at 5.1 eV per formula unit. For the density of states at the Fermi level, the calculation gives 11.2 states/eV/cell.